VASP calculation (PBE) on LiCu2Re after structural relaxation.

Properties
SG: I-4m2
Energy, eV for the cell shown: -20.38
Total moment, μB per formula unit: 1.78

Cell: 4.575 4.575 4.575 Å, 132.28 132.28 69.78°
Element x y z (fractional)
Li1 0.000 0.000 0.000
Cu1 0.500 0.500 0.000
Cu2 0.750 0.250 0.500
Re1 0.250 0.750 0.500


VASP calculation (PBE) on Li2CuRe after structural relaxation.

Properties
SG: Cmmm
Energy, eV for the cell shown: -19.76
Total moment, μB per formula unit: 0.00

Cell: 2.559 2.559 8.951 Å, 90.00 90.00 109.10°
Element x y z (fractional)
Li1 0.000 0.000 0.244
Li2 0.000 0.000 0.756
Cu1 0.500 0.500 0.000
Re1 0.500 0.500 0.500


VASP calculation (PBE) on LiCu2Re after structural relaxation.

Properties
SG: F-43m
Energy, eV for the cell shown: -20.20
Total moment, μB per formula unit: 2.07

Cell: 4.157 4.157 4.157 Å, 60.00 60.00 60.00°
Element x y z (fractional)
Li1 0.000 0.000 0.000
Cu1 0.500 0.500 0.500
Cu2 0.750 0.750 0.750
Re1 0.250 0.250 0.250


VASP calculation (PBE) on Li2Cu2Re after structural relaxation.

Properties
SG: P4/mbm
Energy, eV for the cell shown: -45.53
Total moment, μB per formula unit: 0.00

Cell: 7.033 7.033 2.532 Å, 90.00 90.00 90.00°
Element x y z (fractional)
Li1 0.165 0.335 0.000
Li2 0.335 0.835 0.000
Li3 0.665 0.165 0.000
Li4 0.835 0.665 0.000
Cu1 0.136 0.636 0.500
Cu2 0.364 0.136 0.500
Cu3 0.636 0.864 0.500
Cu4 0.864 0.364 0.500
Re1 0.000 0.000 0.500
Re2 0.500 0.500 0.500


VASP calculation (PBE) on Li2CuRe after structural relaxation.

Properties
SG: P2/m
Energy, eV for the cell shown: -19.35
Total moment, μB per formula unit: 0.00

Cell: 2.462 4.562 4.819 Å, 90.00 92.35 90.00°
Element x y z (fractional)
Li1 0.132 0.000 0.240
Li2 0.868 0.000 0.760
Cu1 0.000 0.500 0.500
Re1 0.500 0.500 0.000


VASP calculation (PBE) on Li2CuRe after structural relaxation.

Properties
SG: Cmm2
Energy, eV for the cell shown: -19.60
Total moment, μB per formula unit: 0.00

Cell: 2.570 2.570 9.027 Å, 90.00 90.00 101.82°
Element x y z (fractional)
Li1 0.000 0.000 0.000
Li2 0.500 0.500 0.295
Cu1 0.000 0.000 0.523
Re1 0.500 0.500 0.757


VASP calculation (PBE) on LiCuRe2 after structural relaxation.

Properties
SG: Pmmm
Energy, eV for the cell shown: -29.64
Total moment, μB per formula unit: 0.00

Cell: 3.063 4.118 4.389 Å, 90.00 90.00 90.00°
Element x y z (fractional)
Li1 0.000 0.000 0.000
Cu1 0.500 0.500 0.000
Re1 0.000 0.500 0.500
Re2 0.500 0.000 0.500


VASP calculation (PBE) on Li2CuRe after structural relaxation.

Properties
SG: Pmm2
Energy, eV for the cell shown: -19.16
Total moment, μB per formula unit: 0.71

Cell: 2.495 4.186 5.370 Å, 90.00 90.00 90.00°
Element x y z (fractional)
Li1 0.000 0.000 0.000
Li2 0.500 0.500 0.235
Cu1 0.500 0.500 0.705
Re1 0.000 0.000 0.514


VASP calculation (PBE) on Li2CuRe after structural relaxation.

Properties
SG: R-3m
Energy, eV for the cell shown: -19.50
Total moment, μB per formula unit: 0.23

Cell: 9.266 9.266 9.266 Å, 16.58 16.58 16.58°
Element x y z (fractional)
Li1 0.249 0.249 0.249
Li2 0.751 0.751 0.751
Cu1 0.500 0.500 0.500
Re1 0.000 0.000 0.000


VASP calculation (PBE) on LiCu2Re after structural relaxation.

Properties
SG: P4/mmm
Energy, eV for the cell shown: -21.85
Total moment, μB per formula unit: 0.51

Cell: 4.595 4.595 2.530 Å, 90.00 90.00 90.00°
Element x y z (fractional)
Li1 0.000 0.000 0.000
Cu1 0.000 0.500 0.500
Cu2 0.500 0.000 0.500
Re1 0.500 0.500 0.000


VASP calculation (PBE) on LiCu2Re after structural relaxation.

Properties
SG: C2/m
Energy, eV for the cell shown: -21.17
Total moment, μB per formula unit: 0.00

Cell: 4.531 4.531 4.850 Å, 96.20 96.20 32.12°
Element x y z (fractional)
Li1 0.000 0.000 0.000
Cu1 0.246 0.246 0.750
Cu2 0.754 0.754 0.250
Re1 0.500 0.500 0.500


VASP calculation (PBE) on LiCuRe2 after structural relaxation.

Properties
SG: Pmm2
Energy, eV for the cell shown: -29.76
Total moment, μB per formula unit: 0.00

Cell: 2.657 3.983 5.360 Å, 90.00 90.00 90.00°
Element x y z (fractional)
Li1 0.000 0.000 0.000
Cu1 0.500 0.500 0.795
Re1 0.000 0.000 0.501
Re2 0.500 0.500 0.294


VASP calculation (PBE) on LiCu2Re after structural relaxation.

Properties
SG: I-42d
Energy, eV for the cell shown: -38.06
Total moment, μB per formula unit: 0.00

Cell: 9.080 9.080 9.080 Å, 157.84 157.84 31.54°
Element x y z (fractional)
Li1 0.000 0.000 0.000
Li2 0.750 0.250 0.500
Cu1 0.119 0.625 0.994
Cu2 0.375 0.369 0.494
Cu3 0.631 0.125 0.006
Cu4 0.875 0.881 0.506
Re1 0.250 0.750 0.500
Re2 0.500 0.500 0.000


VASP calculation (PBE) on Li2CuRe after structural relaxation.

Properties
SG: Immm
Energy, eV for the cell shown: -19.33
Total moment, μB per formula unit: 0.05

Cell: 5.351 5.351 5.351 Å, 152.85 128.68 59.02°
Element x y z (fractional)
Li1 0.235 0.235 0.000
Li2 0.765 0.765 0.000
Cu1 0.000 0.500 0.500
Re1 0.500 0.000 0.500


VASP calculation (PBE) on LiCu3Re after structural relaxation.

Properties
SG: Pm-3m
Energy, eV for the cell shown: -22.18
Total moment, μB per formula unit: 0.00

Cell: 3.948 3.948 3.948 Å, 90.00 90.00 90.00°
Element x y z (fractional)
Li1 0.000 0.000 0.000
Cu1 0.000 0.000 0.500
Cu2 0.000 0.500 0.000
Cu3 0.500 0.000 0.000
Re1 0.500 0.500 0.500


| no. | calculated formation energy (eV/atom) |
| --- | --- |
| 1 | 0.54 |
| 2 | 0.15 |
| 3 | 0.59 |
| 4 | 0.34 |
| 5 | 0.26 |
| 6 | 0.19 |
| 7 | 0.32 |
| 8 | 0.30 |
| 9 | 0.22 |
| 10 | 0.18 |
| 11 | 0.35 |
| 12 | 0.29 |
| 13 | 0.88 |
| 14 | 0.26 |
| 15 | 0.89 |